No. 1
Computed, not measured: a PBEsol-optimized structure of MnPPdCl2 at the SCAN level of DFT.

The structure in CIF format:
```
data_MnPPdCl2
_chemical_formula_sum 'Mn1 P1 Pd1 Cl2'
_cell_length_a 4.6723
_cell_length_b 4.6723
_cell_length_c 4.8017
_cell_angle_alpha 90.00
_cell_angle_beta 90.00
_cell_angle_gamma 90.00
_space_group_name_H-M_alt 'P 1'
_space_group_IT_number 1
loop_
_space_group_symop_operation_xyz
'x,y,z'
loop_
_atom_site_label
_atom_site_type_symbol
_atom_site_fract_x
_atom_site_fract_y
_atom_site_fract_z
Cl1 Cl 0.5000 0.0000 0.0000
Cl2 Cl 0.0000 0.5000 0.0000
P1 P 0.0000 0.0000 0.5000
Pd1 Pd 0.0000 0.0000 0.0000
Mn1 Mn 0.5000 0.5000 0.5000
```

The value obtained for the density is 4.17 g/cm³. As for the final energy: -15.41 eV/atom. As for the formation energy without anion corrections: 65 meV/atom.

***

No. 2
Computed, not measured: a PBEsol-optimized structure of ScFe at the SCAN level of DFT.

The structure in CIF format:
```
data_ScFe
_chemical_formula_sum 'Sc1 Fe1'
_cell_length_a 3.9407
_cell_length_b 3.9407
_cell_length_c 3.9407
_cell_angle_alpha 60.00
_cell_angle_beta 60.00
_cell_angle_gamma 60.00
_space_group_name_H-M_alt 'P 1'
_space_group_IT_number 1
loop_
_space_group_symop_operation_xyz
'x,y,z'
loop_
_atom_site_label
_atom_site_type_symbol
_atom_site_fract_x
_atom_site_fract_y
_atom_site_fract_z
Fe1 Fe 0.0000 0.0000 0.0000
Sc1 Sc 0.2500 0.2500 0.2500
```

As for the formation energy: 3.31 eV/f.u. The value obtained for the density is 3.87 g/cm³. As for the final energy: -14.53 eV/atom.

***

No. 3
Computed, not measured: a PBEsol-optimized structure of Zn2CoSi at the SCAN level of DFT.

The structure in CIF format:
```
data_Zn2CoSi
_chemical_formula_sum 'Zn2 Co1 Si1'
_cell_length_a 2.6386
_cell_length_b 4.1965
_cell_length_c 5.1169
_cell_angle_alpha 113.54
_cell_angle_beta 103.94
_cell_angle_gamma 92.37
_space_group_name_H-M_alt 'P 1'
_space_group_IT_number 1
loop_
_space_group_symop_operation_xyz
'x,y,z'
loop_
_atom_site_label
_atom_site_type_symbol
_atom_site_fract_x
_atom_site_fract_y
_atom_site_fract_z
Zn1 Zn 0.0000 0.0000 0.5000
Zn2 Zn 0.5000 0.5000 0.5000
Si1 Si 0.0000 0.0000 0.0000
Co1 Co 0.5000 0.5000 0.0000
```

The value obtained for the density is 7.26 g/cm³. As for the final energy: -13.47 eV/atom. As for the formation energy without anion corrections: 118 meV/atom.

***

No. 4
Computed, not measured: a PBEsol-optimized structure of LiHfPt2 at the SCAN level of DFT.

The structure in CIF format:
```
data_LiHfPt2
_chemical_formula_sum 'Li1 Hf1 Pt2'
_cell_length_a 4.4548
_cell_length_b 4.4548
_cell_length_c 4.4548
_cell_angle_alpha 60.00
_cell_angle_beta 60.00
_cell_angle_gamma 60.00
_space_group_name_H-M_alt 'P 1'
_space_group_IT_number 1
loop_
_space_group_symop_operation_xyz
'x,y,z'
loop_
_atom_site_label
_atom_site_type_symbol
_atom_site_fract_x
_atom_site_fract_y
_atom_site_fract_z
Pt1 Pt 0.2500 0.2500 0.2500
Pt2 Pt 0.7500 0.7500 0.7500
Hf1 Hf 0.5000 0.5000 0.5000
Li1 Li 0.0000 0.0000 0.0000
```

As for the formation energy: -4.44 eV/f.u. The value obtained for the density is 15.29 g/cm³. As for the final energy: -52.47 eV/atom.

***

No. 5
Computed, not measured: a PBEsol-optimized structure of Ta3Bi4O14 at the SCAN level of DFT.

The structure in CIF format:
```
data_Ta3Bi4O14
_chemical_formula_sum 'Ta6 Bi8 O28'
_cell_length_a 7.5809
_cell_length_b 7.5809
_cell_length_c 11.9220
_cell_angle_alpha 79.87
_cell_angle_beta 79.87
_cell_angle_gamma 59.98
_space_group_name_H-M_alt 'P 1'
_space_group_IT_number 1
loop_
_space_group_symop_operation_xyz
'x,y,z'
loop_
_atom_site_label
_atom_site_type_symbol
_atom_site_fract_x
_atom_site_fract_y
_atom_site_fract_z
Bi1 Bi 0.0259 0.7444 0.9673
Bi2 Bi 0.2556 0.9741 0.5327
Bi3 Bi 0.7302 0.5063 0.4941
Bi4 Bi 0.7444 0.0259 0.4673
Bi5 Bi 0.2698 0.4937 0.5059
Bi6 Bi 0.5063 0.7302 0.9941
Bi7 Bi 0.4937 0.2698 0.0059
Bi8 Bi 0.9741 0.2556 0.0327
Ta1 Ta 0.1485 0.8515 0.2500
Ta2 Ta 0.6398 0.8628 0.2410
Ta3 Ta 0.8628 0.6398 0.7410
Ta4 Ta 0.1372 0.3602 0.2590
Ta5 Ta 0.3602 0.1372 0.7590
Ta6 Ta 0.8515 0.1485 0.7500
O1 O 0.2102 0.5666 0.2841
O2 O 0.1399 0.8700 0.0828
O3 O 0.7898 0.4334 0.7159
O4 O 0.8635 0.5528 0.9132
O5 O 0.5666 0.2102 0.7841
O6 O 0.4472 0.1365 0.5868
O7 O 0.0645 0.1537 0.2299
O8 O 0.4310 0.1565 0.2167
O9 O 0.5690 0.8435 0.7833
O10 O 0.8601 0.1300 0.9172
O11 O 0.4334 0.7898 0.2159
O12 O 0.6319 0.4141 0.0800
O13 O 0.8463 0.9355 0.2701
O14 O 0.8594 0.7232 0.5791
O15 O 0.1365 0.4472 0.0868
O16 O 0.9355 0.8463 0.7701
O17 O 0.5859 0.3681 0.4200
O18 O 0.1565 0.4310 0.7167
O19 O 0.2768 0.1406 0.9209
O20 O 0.5528 0.8635 0.4132
O21 O 0.1406 0.2768 0.4209
O22 O 0.8435 0.5690 0.2833
O23 O 0.4141 0.6319 0.5800
O24 O 0.3681 0.5859 0.9200
O25 O 0.1300 0.8601 0.4172
O26 O 0.7232 0.8594 0.0791
O27 O 0.1537 0.0645 0.7299
O28 O 0.8700 0.1399 0.5828
```

The value obtained for the density is 9.16 g/cm³. As for the final energy: -30.71 eV/atom. As for the formation energy without anion corrections: -2076 meV/atom.

***

No. 6
Computed, not measured: a PBEsol-optimized structure of AgAs2AuSe at the SCAN level of DFT.

The structure in CIF format:
```
data_AgAs2AuSe
_chemical_formula_sum 'Ag1 As2 Au1 Se1'
_cell_length_a 4.9222
_cell_length_b 4.9222
_cell_length_c 5.1223
_cell_angle_alpha 90.00
_cell_angle_beta 90.00
_cell_angle_gamma 90.00
_space_group_name_H-M_alt 'P 1'
_space_group_IT_number 1
loop_
_space_group_symop_operation_xyz
'x,y,z'
loop_
_atom_site_label
_atom_site_type_symbol
_atom_site_fract_x
_atom_site_fract_y
_atom_site_fract_z
Au1 Au 0.0000 0.0000 0.0000
As1 As 0.0000 0.5000 0.0000
As2 As 0.5000 0.0000 0.0000
Ag1 Ag 0.5000 0.5000 0.5000
Se1 Se 0.0000 0.0000 0.5000
```

The value obtained for the density is 7.14 g/cm³. As for the final energy: -31.38 eV/atom. As for the formation energy without anion corrections: 819 meV/atom.

***

No. 7
Computed, not measured: a PBEsol-optimized structure of InSbO2 at the SCAN level of DFT.

The structure in CIF format:
```
data_InSbO2
_chemical_formula_sum 'In1 Sb1 O2'
_cell_length_a 3.3033
_cell_length_b 3.3033
_cell_length_c 7.0011
_cell_angle_alpha 76.35
_cell_angle_beta 76.35
_cell_angle_gamma 60.00
_space_group_name_H-M_alt 'P 1'
_space_group_IT_number 1
loop_
_space_group_symop_operation_xyz
'x,y,z'
loop_
_atom_site_label
_atom_site_type_symbol
_atom_site_fract_x
_atom_site_fract_y
_atom_site_fract_z
In1 In 0.5000 0.5000 0.5000
O1 O 0.8880 0.8880 0.3360
O2 O 0.1120 0.1120 0.6640
Sb1 Sb 0.0000 0.0000 0.0000
```

The value obtained for the density is 7.01 g/cm³. The calculation puts the energy above the lowest structure with this stoichiometry at 0 meV per atom. As for the final energy: -22.09 eV/atom. As for the formation energy without anion corrections: -1308 meV/atom.

***

No. 8
Computed, not measured: a PBEsol-optimized structure of Mg2NbFeTe at the SCAN level of DFT.

The structure in CIF format:
```
data_Mg2NbFeTe
_chemical_formula_sum 'Mg2 Nb1 Fe1 Te1'
_cell_length_a 4.3152
_cell_length_b 5.3774
_cell_length_c 5.3774
_cell_angle_alpha 90.00
_cell_angle_beta 90.00
_cell_angle_gamma 90.00
_space_group_name_H-M_alt 'P 1'
_space_group_IT_number 1
loop_
_space_group_symop_operation_xyz
'x,y,z'
loop_
_atom_site_label
_atom_site_type_symbol
_atom_site_fract_x
_atom_site_fract_y
_atom_site_fract_z
Nb1 Nb 0.0000 0.0000 0.0000
Te1 Te 0.5000 0.5000 0.5000
Mg1 Mg 0.0000 0.5000 0.0000
Mg2 Mg 0.0000 0.0000 0.5000
Fe1 Fe 0.5000 0.0000 0.0000
```

The value obtained for the density is 4.32 g/cm³. As for the final energy: -18.58 eV/atom. As for the formation energy without anion corrections: 1111 meV/atom.

***

No. 9
Computed, not measured: a PBEsol-optimized structure of SrMn2Co at the SCAN level of DFT.

The structure in CIF format:
```
data_SrMn2Co
_chemical_formula_sum 'Sr1 Mn2 Co1'
_cell_length_a 3.9800
_cell_length_b 3.9800
_cell_length_c 4.3272
_cell_angle_alpha 90.00
_cell_angle_beta 90.00
_cell_angle_gamma 90.00
_space_group_name_H-M_alt 'P 1'
_space_group_IT_number 1
loop_
_space_group_symop_operation_xyz
'x,y,z'
loop_
_atom_site_label
_atom_site_type_symbol
_atom_site_fract_x
_atom_site_fract_y
_atom_site_fract_z
Sr1 Sr 0.5000 0.5000 0.5000
Mn1 Mn 0.0000 0.5000 0.0000
Mn2 Mn 0.5000 0.0000 0.0000
Co1 Co 0.0000 0.0000 0.5000
```

As for the formation energy: 2.59 eV/f.u. The value obtained for the density is 6.21 g/cm³. The calculation puts the energy above the lowest structure with this stoichiometry at 18 meV per atom. As for the final energy: -18.38 eV/atom.

***

No. 10
Computed, not measured: a PBEsol-optimized structure of Al2Co2Hg at the SCAN level of DFT.

The structure in CIF format:
```
data_Al2Co2Hg
_chemical_formula_sum 'Al4 Co4 Hg2'
_cell_length_a 2.8342
_cell_length_b 6.8970
_cell_length_c 6.8970
_cell_angle_alpha 90.00
_cell_angle_beta 90.00
_cell_angle_gamma 90.00
_space_group_name_H-M_alt 'P 1'
_space_group_IT_number 1
loop_
_space_group_symop_operation_xyz
'x,y,z'
loop_
_atom_site_label
_atom_site_type_symbol
_atom_site_fract_x
_atom_site_fract_y
_atom_site_fract_z
Co1 Co 0.0000 0.8555 0.6445
Co2 Co 0.0000 0.3555 0.8555
Co3 Co 0.0000 0.6445 0.1445
Co4 Co 0.0000 0.1445 0.3555
Al1 Al 0.5000 0.3530 0.1470
Al2 Al 0.5000 0.8530 0.3530
Al3 Al 0.5000 0.6470 0.8530
Al4 Al 0.5000 0.1470 0.6470
Hg1 Hg 0.0000 0.5000 0.5000
Hg2 Hg 0.0000 0.0000 0.0000
```

As for the formation energy: -0.69 eV/f.u. The value obtained for the density is 9.17 g/cm³. As for the final energy: -23.79 eV/atom.

***

No. 11
Computed, not measured: a PBEsol-optimized structure of CaCu3P at the SCAN level of DFT.

The structure in CIF format:
```
data_CaCu3P
_chemical_formula_sum 'Ca1 Cu3 P1'
_cell_length_a 4.7054
_cell_length_b 4.7054
_cell_length_c 4.7054
_cell_angle_alpha 90.00
_cell_angle_beta 90.00
_cell_angle_gamma 90.00
_space_group_name_H-M_alt 'P 1'
_space_group_IT_number 1
loop_
_space_group_symop_operation_xyz
'x,y,z'
loop_
_atom_site_label
_atom_site_type_symbol
_atom_site_fract_x
_atom_site_fract_y
_atom_site_fract_z
Ca1 Ca 0.0000 0.0000 0.0000
P1 P 0.5000 0.5000 0.5000
Cu1 Cu 0.0000 0.0000 0.5000
Cu2 Cu 0.0000 0.5000 0.0000
Cu3 Cu 0.5000 0.0000 0.0000
```

As for the formation energy: 8.74 eV/f.u. The value obtained for the density is 4.17 g/cm³. As for the final energy: -11.38 eV/atom.

***

No. 12
Computed, not measured: a PBEsol-optimized structure of ZnRuPb at the SCAN level of DFT.

The structure in CIF format:
```
data_ZnRuPb
_chemical_formula_sum 'Zn1 Ru1 Pb1'
_cell_length_a 3.1049
_cell_length_b 3.1049
_cell_length_c 6.5403
_cell_angle_alpha 90.00
_cell_angle_beta 90.00
_cell_angle_gamma 120.00
_space_group_name_H-M_alt 'P 1'
_space_group_IT_number 1
loop_
_space_group_symop_operation_xyz
'x,y,z'
loop_
_atom_site_label
_atom_site_type_symbol
_atom_site_fract_x
_atom_site_fract_y
_atom_site_fract_z
Ru1 Ru 0.3333 0.6667 0.6500
Zn1 Zn 0.6667 0.3333 0.3713
Pb1 Pb 0.0000 0.0000 0.9787
```

As for the formation energy: 1.44 eV/f.u. The value obtained for the density is 11.36 g/cm³. As for the final energy: -40.90 eV/atom.

***

Among the records above, which one has the lowest final energy? LiHfPt2

***

Which of these has the lowest final energy? LiHfPt2

***

final energy of number 6 (AgAs2AuSe)? -31.38 eV/atom

***

Which of these has the highest final energy? CaCu3P